Density functional theory data (PBE-GGA) for an optimized crystal structure of K2TiBr4Cl2.

Calculated values
Crystal system: monoclinic
Magnetization: 0.00 μB/cell
Energy relative to the elements, uncorrected: -1.55 eV per atom

a b c (Å): 7.3226 7.3226 7.5278
angles (deg): 120.73 120.73 61.22
With the nearest neighbours (Å) after each atom.
Positions (direct):
K1 0.2482 0.2482 0.2613  1 Cl 3.25, 4 Br 3.50-3.54
K2 0.7518 0.7518 0.7387  1 Cl 3.25, 4 Br 3.50-3.54
Ti1 0.0000 0.0000 0.5000  2 Cl 2.34, 4 Br 2.54
Br1 0.2102 0.7294 0.2340  1 Ti 2.54
Br2 0.2706 0.7898 0.7660  1 Ti 2.54
Br3 0.7294 0.2102 0.2340  1 Ti 2.54
Br4 0.7898 0.2706 0.7660  1 Ti 2.54
Cl1 0.2275 0.2275 0.6718  1 Ti 2.34
Cl2 0.7725 0.7725 0.3282  1 Ti 2.34

Density functional theory data (PBE-GGA) for an optimized crystal structure of KTlBr2Cl.

Calculated values
Crystal system: tetragonal
N(E_F): 0.182 states/eV/atom
Magnetization: 0.00 μB/cell
Energy relative to the elements, uncorrected: -1.09 eV per atom

a b c (Å): 7.9529 7.9529 7.9529
angles (deg): 119.04 119.04 91.67
With the nearest neighbours (Å) after each atom.
Positions (direct):
K1 0.2500 0.7500 0.5000  4 Br 3.43
K2 0.7500 0.2500 0.5000  4 Br 3.43
Tl1 0.0000 0.0000 0.0000  2 Cl 2.77, 4 Br 2.97
Tl2 0.5000 0.5000 0.0000  2 Cl 2.77, 4 Br 2.97
Br1 0.1768 0.6768 0.8536  2 Tl 2.97
Br2 0.3232 0.1768 0.5000  2 Tl 2.97
Br3 0.6768 0.8232 0.5000  2 Tl 2.97
Br4 0.8232 0.3232 0.1464  2 Tl 2.97
Cl1 0.2500 0.2500 0.0000  2 Tl 2.77
Cl2 0.7500 0.7500 0.0000  2 Tl 2.77

Density functional theory data (PBE-GGA) for an optimized crystal structure of K2Tl4Br3Cl2.

Calculated values
Crystal system: tetragonal
N(E_F): 0.160 states/eV/atom
Magnetization: 0.00 μB/cell
Energy relative to the elements, uncorrected: -0.99 eV per atom

a b c (Å): 18.5111 18.5111 18.5111
angles (deg): 164.64 164.64 21.79
With the nearest neighbours (Å) after each atom.
Positions (direct):
K1 0.2081 0.2081 0.0000  1 Cl 3.21, 5 Br 3.26-3.51
K2 0.7919 0.7919 0.0000  1 Cl 3.21, 5 Br 3.26-3.51
Tl1 0.0724 0.5724 0.5000  2 Cl 3.01
Tl2 0.4276 0.9276 0.5000  2 Cl 3.01
Tl3 0.5724 0.0724 0.5000  2 Cl 3.01
Tl4 0.9276 0.4276 0.5000  2 Cl 3.01
Br1 0.2978 0.2978 0.0000  5 K 3.26-3.51
Br2 0.5000 0.5000 0.0000  8 Tl 3.61
Br3 0.7022 0.7022 0.0000  5 K 3.26-3.51
Cl1 0.1198 0.1198 0.0000  4 Tl 3.01, 1 K 3.21
Cl2 0.8802 0.8802 0.0000  4 Tl 3.01, 1 K 3.21

Density functional theory data (PBE-GGA) for an optimized crystal structure of KTlBr2Cl.

Calculated values
Crystal system: tetragonal
N(E_F): 0.312 states/eV/atom
Magnetization: 0.00 μB/cell
Energy relative to the elements, uncorrected: -1.06 eV per atom

a b c (Å): 5.7961 5.7961 5.5745
angles (deg): 90.00 90.00 90.00
With the nearest neighbours (Å) after each atom.
Positions (direct):
K1 0.0000 0.0000 0.0000  8 Br 4.02, 4 Cl 4.10
Tl1 0.5000 0.5000 0.5000  2 Cl 2.79, 4 Br 2.90
Br1 0.0000 0.5000 0.5000  2 Tl 2.90
Br2 0.5000 0.0000 0.5000  2 Tl 2.90
Cl1 0.5000 0.5000 0.0000  2 Tl 2.79

Density functional theory data (PBE-GGA) for an optimized crystal structure of K2UBr4Cl2.

Calculated values
Crystal system: monoclinic
N(E_F): 0.568 states/eV/atom
Magnetization: 2.00 μB/cell
Energy relative to the elements, uncorrected: -1.65 eV per atom

a b c (Å): 7.7258 7.7258 7.8183
angles (deg): 118.36 118.36 61.41
With the nearest neighbours (Å) after each atom.
Positions (direct):
K1 0.2411 0.2411 0.2199  1 Cl 3.18, 4 Br 3.42-3.44
K2 0.7589 0.7589 0.7801  1 Cl 3.18, 4 Br 3.42-3.44
U1 0.0000 0.0000 0.5000  2 Cl 2.61, 4 Br 2.80
Br1 0.1921 0.6977 0.2032  1 U 2.80
Br2 0.3023 0.8079 0.7968  1 U 2.80
Br3 0.6977 0.1921 0.2032  1 U 2.80
Br4 0.8079 0.3023 0.7968  1 U 2.80
Cl1 0.2247 0.2247 0.6105  1 U 2.61
Cl2 0.7753 0.7753 0.3895  1 U 2.61

Density functional theory data (PBE-GGA) for an optimized crystal structure of K2UBr3Cl3.

Calculated values
Crystal system: hexagonal
N(E_F): 0.452 states/eV/atom
Magnetization: 2.00 μB/cell
Energy relative to the elements, uncorrected: -1.64 eV per atom

a b c (Å): 8.3001 8.3001 4.3280
angles (deg): 90.00 90.00 120.00
With the nearest neighbours (Å) after each atom.
Positions (direct):
K1 0.3333 0.6667 0.0000  3 Cl 3.31, 6 Br 3.42
K2 0.6667 0.3333 0.0000  3 Cl 3.31, 6 Br 3.42
U1 0.0000 0.0000 0.5000  6 Cl 2.86, 3 Br 3.02
Br1 0.0000 0.6367 0.5000  1 U 3.02
Br2 0.3633 0.3633 0.5000  1 U 3.02
Br3 0.6367 0.0000 0.5000  1 U 3.02
Cl1 0.0000 0.2247 0.0000  2 U 2.86
Cl2 0.2247 0.0000 0.0000  2 U 2.86
Cl3 0.7753 0.7753 0.0000  2 U 2.86

Density functional theory data (PBE-GGA) for an optimized crystal structure of K2UBr5Cl.

Calculated values
Crystal system: tetragonal
N(E_F): 0.751 states/eV/atom
Magnetization: 2.00 μB/cell
Energy relative to the elements, uncorrected: -1.57 eV per atom

a b c (Å): 7.7698 7.7698 7.7698
angles (deg): 119.09 119.09 91.58
With the nearest neighbours (Å) after each atom.
Positions (direct):
K1 0.0000 0.5000 0.5000  6 Br 3.65-3.95, 2 Cl 3.96
K2 0.5000 0.0000 0.5000  6 Br 3.65-3.95, 2 Cl 3.96
U1 0.2771 0.2771 0.0000  1 Cl 2.59, 5 Br 2.76-2.79
Br1 0.0318 0.0318 0.4993  1 U 2.79
Br2 0.0318 0.5325 0.0000  1 U 2.79
Br3 0.5325 0.0318 0.0000  1 U 2.79
Br4 0.5321 0.5321 0.0000  1 U 2.76
Br5 0.5325 0.5325 0.5007  1 U 2.79
Cl1 0.0383 0.0383 0.0000  1 U 2.59

Density functional theory data (PBE-GGA) for an optimized crystal structure of K2UBr2Cl4.

Calculated values
Crystal system: monoclinic
N(E_F): 0.552 states/eV/atom
Magnetization: 2.00 μB/cell
Energy relative to the elements, uncorrected: -1.77 eV per atom

a b c (Å): 7.6822 7.6822 7.7386
angles (deg): 116.28 116.28 58.13
With the nearest neighbours (Å) after each atom.
Positions (direct):
K1 0.2462 0.2462 0.2126  4 Cl 3.27-3.29, 1 Br 3.32
K2 0.7538 0.7538 0.7874  4 Cl 3.27-3.29, 1 Br 3.32
U1 0.5000 0.5000 0.0000  4 Cl 2.62, 2 Br 2.81
Br1 0.2751 0.2751 0.6653  1 U 2.81
Br2 0.7249 0.7249 0.3347  1 U 2.81
Cl1 0.1869 0.6782 0.1607  1 U 2.62
Cl2 0.3218 0.8131 0.8393  1 U 2.62
Cl3 0.6782 0.1869 0.1607  1 U 2.62
Cl4 0.8131 0.3218 0.8393  1 U 2.62

Density functional theory data (PBE-GGA) for an optimized crystal structure of K2UBrCl6.

Calculated values
Crystal system: triclinic
Magnetization: 1.06 μB/cell
Energy relative to the elements, uncorrected: -1.72 eV per atom

a b c (Å): 6.1934 7.6420 8.5587
angles (deg): 94.96 99.38 95.89
With the nearest neighbours (Å) after each atom.
Positions (direct):
K1 0.0000 0.0000 0.0000  2 Br 3.21-3.25, 4 Cl 3.33-3.58
K2 0.3862 0.1882 0.5893  1 Br 3.10, 4 Cl 3.22-3.36
U1 0.0788 0.6265 0.4168  6 Cl 2.51-2.56
Br1 0.5003 0.0911 0.9348  3 K 3.10-3.25
Cl1 0.2343 0.3861 0.2601  1 U 2.54
Cl2 0.3161 0.8667 0.3100  1 U 2.56
Cl3 0.3849 0.6196 0.6487  1 U 2.52
Cl4 0.7820 0.6398 0.1826  1 U 2.51
Cl5 0.8601 0.3799 0.5293  1 U 2.55
Cl6 0.9349 0.8703 0.5810  1 U 2.56

Density functional theory data (PBE-GGA) for an optimized crystal structure of K2VBr6Cl.

Calculated values
Crystal system: triclinic
Magnetization: 0.00 μB/cell
Energy relative to the elements, uncorrected: -1.06 eV per atom

a b c (Å): 6.2627 6.6948 8.6339
angles (deg): 79.77 75.09 89.13
With the nearest neighbours (Å) after each atom.
Positions (direct):
K1 0.0000 0.0000 0.0000  2 Cl 3.27-3.29, 5 Br 3.37-3.65
K2 0.4644 0.4808 0.1192  2 Cl 3.29-3.41, 4 Br 3.45-3.68
V1 0.9766 0.5618 0.6079  5 Br 2.35-2.45
Br1 0.0357 0.5113 0.9309  1 V 2.87
Br2 0.1947 0.2564 0.5933  1 V 2.45
Br3 0.3041 0.7621 0.5183  1 V 2.35
Br4 0.6538 0.3408 0.7432  1 V 2.43
Br5 0.7656 0.8411 0.6944  1 V 2.39
Br6 0.9059 0.5902 0.3458  1 V 2.39
Cl1 0.4562 0.9722 0.1189  4 K 3.27-3.41, 2 Br 3.38-3.65

Density functional theory data (PBE-GGA) for an optimized crystal structure of KVBrCl6.

Calculated values
Crystal system: triclinic
N(E_F): 0.560 states/eV/atom
Magnetization: 1.00 μB/cell
Energy relative to the elements, uncorrected: -1.05 eV per atom

a b c (Å): 6.3217 7.6481 7.7184
angles (deg): 109.06 102.41 113.70
With the nearest neighbours (Å) after each atom.
Positions (direct):
K1 0.0000 0.0000 0.0000  4 Cl 3.18-3.22
V1 0.3511 0.3447 0.6903  4 Cl 2.23-2.24
Br1 0.2090 0.7044 0.4073  2 Cl 2.41
Cl1 0.0635 0.3581 0.4022  1 Br 2.41, 1 V 2.61
Cl2 0.3490 0.0455 0.4019  1 Br 2.41, 1 V 2.61
Cl3 0.3709 0.6281 0.9155  1 V 2.23
Cl4 0.5571 0.2846 0.9155  1 V 2.23
Cl5 0.6655 0.5377 0.6220  1 V 2.24
Cl6 0.9673 0.0833 0.6206  1 V 2.24

Density functional theory data (PBE-GGA) for an optimized crystal structure of KVBr2Cl.

Calculated values
Crystal system: tetragonal
N(E_F): 0.180 states/eV/atom
Magnetization: 3.00 μB/cell
Energy relative to the elements, uncorrected: -1.19 eV per atom

a b c (Å): 5.3128 5.3128 4.9556
angles (deg): 90.00 90.00 90.00
With the nearest neighbours (Å) after each atom.
Positions (direct):
K1 0.0000 0.0000 0.0000  8 Br 3.63, 4 Cl 3.76
V1 0.5000 0.5000 0.5000  2 Cl 2.48, 4 Br 2.66
Br1 0.0000 0.5000 0.5000  2 V 2.66
Br2 0.5000 0.0000 0.5000  2 V 2.66
Cl1 0.5000 0.5000 0.0000  2 V 2.48

Density functional theory data (PBE-GGA) for an optimized crystal structure of K2VBr4Cl2.

Calculated values
Crystal system: monoclinic
N(E_F): 0.677 states/eV/atom
Magnetization: 1.00 μB/cell
Energy relative to the elements, uncorrected: -1.31 eV per atom

a b c (Å): 7.2029 7.2029 7.5541
angles (deg): 121.41 121.41 62.60
With the nearest neighbours (Å) after each atom.
Positions (direct):
K1 0.2490 0.2490 0.2658  1 Cl 3.33, 8 Br 3.51-3.71
K2 0.7510 0.7510 0.7342  1 Cl 3.33, 8 Br 3.51-3.71
V1 0.0000 0.0000 0.5000  2 Cl 2.29, 4 Br 2.52
Br1 0.2134 0.7382 0.2417  1 V 2.52
Br2 0.2618 0.7866 0.7583  1 V 2.52
Br3 0.7382 0.2134 0.2417  1 V 2.52
Br4 0.7866 0.2618 0.7583  1 V 2.52
Cl1 0.2323 0.2323 0.6899  1 V 2.29
Cl2 0.7677 0.7677 0.3101  1 V 2.29

Density functional theory data (PBE-GGA) for an optimized crystal structure of KVBr2Cl.

Calculated values
Crystal system: tetragonal
N(E_F): 0.049 states/eV/atom
Magnetization: 6.00 μB/cell
Energy relative to the elements, uncorrected: -1.21 eV per atom

a b c (Å): 7.2650 7.2650 7.2650
angles (deg): 119.14 119.14 91.49
With the nearest neighbours (Å) after each atom.
Positions (direct):
K1 0.2500 0.7500 0.5000  4 Br 3.27
K2 0.7500 0.2500 0.5000  4 Br 3.27
V1 0.0000 0.0000 0.0000  2 Cl 2.53, 4 Br 2.66
V2 0.5000 0.5000 0.0000  2 Cl 2.53, 4 Br 2.66
Br1 0.1988 0.6988 0.8976  2 V 2.66
Br2 0.3012 0.1988 0.5000  2 V 2.66
Br3 0.6988 0.8012 0.5000  2 V 2.66
Br4 0.8012 0.3012 0.1024  2 V 2.66
Cl1 0.2500 0.2500 0.0000  2 V 2.53
Cl2 0.7500 0.7500 0.0000  2 V 2.53

Density functional theory data (PBE-GGA) for an optimized crystal structure of K2WBr2Cl4.

Calculated values
Crystal system: monoclinic
N(E_F): 0.854 states/eV/atom
Magnetization: 2.00 μB/cell
Energy relative to the elements, uncorrected: -1.24 eV per atom

a b c (Å): 7.2766 7.2766 7.2728
angles (deg): 118.87 118.87 58.85
With the nearest neighbours (Å) after each atom.
Positions (direct):
K1 0.2472 0.2472 0.2231  4 Cl 3.35-3.37, 3 Br 3.41-3.62
K2 0.7528 0.7528 0.7769  4 Cl 3.35-3.37, 3 Br 3.41-3.62
W1 0.5000 0.5000 0.0000  4 Cl 2.39, 2 Br 2.57
Br1 0.2605 0.2605 0.7038  1 W 2.57
Br2 0.7395 0.7395 0.2962  1 W 2.57
Cl1 0.2340 0.7060 0.1998  1 W 2.39
Cl2 0.2940 0.7660 0.8002  1 W 2.39
Cl3 0.7060 0.2340 0.1998  1 W 2.39
Cl4 0.7660 0.2940 0.8002  1 W 2.39

Density functional theory data (PBE-GGA) for an optimized crystal structure of K2WBr4Cl2.

Calculated values
Crystal system: monoclinic
N(E_F): 0.783 states/eV/atom
Magnetization: 2.00 μB/cell
Energy relative to the elements, uncorrected: -1.14 eV per atom

a b c (Å): 7.3186 7.3186 7.6071
angles (deg): 121.29 121.29 61.96
With the nearest neighbours (Å) after each atom.
Positions (direct):
K1 0.2492 0.2492 0.2651  1 Cl 3.28, 4 Br 3.52-3.55
K2 0.7508 0.7508 0.7349  1 Cl 3.28, 4 Br 3.52-3.55
W1 0.0000 0.0000 0.5000  2 Cl 2.38, 4 Br 2.57
Br1 0.2102 0.7304 0.2342  1 W 2.57
Br2 0.2696 0.7898 0.7658  1 W 2.57
Br3 0.7304 0.2102 0.2342  1 W 2.57
Br4 0.7898 0.2696 0.7658  1 W 2.57
Cl1 0.2348 0.2348 0.6821  1 W 2.38
Cl2 0.7652 0.7652 0.3179  1 W 2.38

Density functional theory data (PBE-GGA) for an optimized crystal structure of K2ZrBr2Cl4.

Calculated values
Crystal system: monoclinic
N(E_F): 0.000 states/eV/atom
Magnetization: 0.00 μB/cell
Energy relative to the elements, uncorrected: -1.81 eV per atom

a b c (Å): 7.4148 7.4148 7.5515
angles (deg): 117.86 117.86 59.23
With the nearest neighbours (Å) after each atom.
Positions (direct):
K1 0.2455 0.2455 0.2167  4 Cl 3.28-3.31, 1 Br 3.35
K2 0.7545 0.7545 0.7833  4 Cl 3.28-3.31, 1 Br 3.35
Zr1 0.5000 0.5000 0.0000  4 Cl 2.49, 2 Br 2.67
Br1 0.2664 0.2664 0.6784  1 Zr 2.67
Br2 0.7336 0.7336 0.3216  1 Zr 2.67
Cl1 0.2100 0.6884 0.1757  1 Zr 2.49
Cl2 0.3116 0.7900 0.8243  1 Zr 2.49
Cl3 0.6884 0.2100 0.1757  1 Zr 2.49
Cl4 0.7900 0.3116 0.8243  1 Zr 2.49

Density functional theory data (PBE-GGA) for an optimized crystal structure of LaBr2Cl.

Calculated values
Crystal system: monoclinic
N(E_F): 0.000 states/eV/atom
Magnetization: 0.00 μB/cell
Energy relative to the elements, uncorrected: -2.07 eV per atom

a b c (Å): 5.9502 5.9502 7.4732
angles (deg): 112.99 112.99 40.08
With the nearest neighbours (Å) after each atom.
Positions (direct):
La1 0.0000 0.0000 0.0000  2 Cl 2.81, 4 Br 2.97-3.08
Br1 0.2948 0.2948 0.0047  3 La 3.08-3.28
Br2 0.4819 0.4819 0.7014  2 La 2.97
Cl1 0.6381 0.6381 0.2632  2 La 2.81

Density functional theory data (PBE-GGA) for an optimized crystal structure of LaBr2Cl.

Calculated values
Crystal system: tetragonal
N(E_F): 0.000 states/eV/atom
Magnetization: 0.00 μB/cell
Energy relative to the elements, uncorrected: -1.50 eV per atom

a b c (Å): 10.6505 10.6505 10.6505
angles (deg): 152.65 152.65 39.07
With the nearest neighbours (Å) after each atom.
Positions (direct):
La1 0.0000 0.0000 0.0000  4 Br 2.99
La2 0.7500 0.2500 0.5000  4 Br 2.99
Br1 0.0819 0.6250 0.9569  2 La 2.99, 2 Cl 3.17, 2 Br 3.27
Br2 0.3750 0.3319 0.4569  2 La 2.99, 2 Cl 3.17, 2 Br 3.27
Br3 0.6681 0.1250 0.0431  2 La 2.99, 2 Cl 3.17, 2 Br 3.27
Br4 0.8750 0.9181 0.5431  2 La 2.99, 2 Cl 3.17, 2 Br 3.27
Cl1 0.2500 0.7500 0.5000  4 Br 3.17
Cl2 0.5000 0.5000 0.0000  4 Br 3.17

Density functional theory data (PBE-GGA) for an optimized crystal structure of LaBr2Cl.

Calculated values
Crystal system: orthorhombic
N(E_F): 0.000 states/eV/atom
Magnetization: 0.00 μB/cell
Energy relative to the elements, uncorrected: -1.92 eV per atom

a b c (Å): 8.3322 8.3322 8.3322
angles (deg): 153.24 144.47 45.04
With the nearest neighbours (Å) after each atom.
Positions (direct):
La1 0.0000 0.0000 0.0000  4 Br 2.97, 4 Cl 3.19
Br1 0.1468 0.6468 0.5000  2 La 2.97
Br2 0.8532 0.3532 0.5000  2 La 2.97
Cl1 0.5000 0.5000 0.0000  4 La 3.19, 4 Br 3.40